Entry 1:
SrAl4Zn | PBE | relaxed

Lattice parameters (Å, degrees): 5.656 5.656 5.656 60.00 60.00 60.00
Positions (direct):
Al 0.375 0.375 0.375
Al 0.375 0.876 0.375
Al 0.876 0.375 0.375
Al 0.375 0.375 0.876
Sr 0.750 0.750 0.750
Zn 0.000 0.000 0.000

Computed properties:
Space group   F-43m, No. 216

---

Entry 2:
SrAl6Zn3 | PBE | relaxed

Lattice parameters (Å, degrees): 6.797 8.048 7.152 105.82 90.00 90.00
Positions (direct):
Al 0.145 0.558 0.841
Al 0.855 0.442 0.159
Al 0.210 0.717 0.236
Al 0.290 0.217 0.736
Al 0.790 0.283 0.764
Al 0.710 0.783 0.264
Al 0.454 0.828 0.960
Al 0.645 0.942 0.659
Al 0.546 0.172 0.040
Al 0.046 0.328 0.460
Al 0.954 0.672 0.540
Al 0.355 0.058 0.341
Zn 0.500 0.500 0.000
Zn 0.782 0.644 0.872
Zn 0.718 0.144 0.372
Zn 0.000 0.000 0.500
Zn 0.282 0.856 0.628
Zn 0.218 0.356 0.128
Sr 0.000 0.000 0.000
Sr 0.500 0.500 0.500

Computed properties:
Space group   P2_1/c, No. 14

---

Entry 3:
SrAl2Zn2 | PBE | relaxed

Lattice parameters (Å, degrees): 8.175 8.175 2.957 90.00 90.00 90.00
Positions (direct):
Al 0.625 0.125 0.000
Al 0.375 0.875 0.000
Al 0.875 0.625 0.000
Al 0.125 0.375 0.000
Sr 0.000 0.000 0.000
Sr 0.500 0.500 0.000
Zn 0.663 0.837 0.500
Zn 0.837 0.337 0.500
Zn 0.163 0.663 0.500
Zn 0.337 0.163 0.500

Computed properties:
Space group   P4/mbm, No. 127

---

Looking at ΔE_f for the records above, in order, we have 23, -43, 0 meV/atom.